Entry from Alexandria: Ca2AsOs after structural relaxation (GGA-PBE).

Properties
The calculation puts the energy of formation at -0.0927 eV per atom.

Unit cell a=3.2854 b=3.2854 c=8.6575 alpha=90.00 beta=90.00 gamma=90.00
Closest atoms and distances in Å follow each position.
Fractional coordinates of all 4 atoms:
As (0.5000, 0.5000, 0.6908)  4 Os 2.58
Os (0.0000, 0.0000, 0.5623)  4 As 2.58
Ca (0.0000, 0.0000, 0.9303)  4 As 3.11, 1 Os 3.19, 4 Ca 3.29
Ca (0.5000, 0.5000, 0.3166)  4 Os 3.15, 1 As 3.24, 4 Ca 3.29

***

Entry from Alexandria: Ca2AsOs after structural relaxation (GGA-PBE).

Properties
The calculation puts the energy of formation at 0.1234 eV per atom.

Unit cell a=4.8021 b=4.8021 c=4.8021 alpha=120.07 beta=120.07 gamma=89.88
Closest atoms and distances in Å follow each position.
Fractional coordinates of all 4 atoms:
As (0.7500, 0.2500, 0.5000)  4 Ca 2.94, 4 Os 2.94
Os (0.5000, 0.5000, 0.0000)  4 As 2.94, 4 Ca 2.94
Ca (0.0000, 0.0000, 0.0000)  4 As 2.94, 4 Ca 2.94
Ca (0.2500, 0.7500, 0.5000)  4 Ca 2.94, 4 Os 2.94

***

Entry from Alexandria: CaAs2Os after structural relaxation (GGA-PBE).

Properties
For the energy above the most stable polymorph in this dataset, the calculation gives 157 meV/atom. The calculation puts the energy of formation at -0.2440 eV per atom.

Unit cell a=4.3449 b=3.9944 c=5.9617 alpha=70.42 beta=90.00 gamma=90.00
Closest atoms and distances in Å follow each position.
Fractional coordinates of all 4 atoms:
As (0.0000, 0.8976, 0.8295)  2 Os 2.38
As (0.5000, 0.1941, 0.2369)  2 Os 2.39
Os (0.5000, 0.8114, 0.0024)  4 As 2.38-2.39
Ca (0.0000, 0.5969, 0.4311)  6 As 3.00-3.15, 2 Os 3.24

***

> Among the records above, which one has the highest energy of formation?

number 2

***

> Look up the energy of formation of the third one.

-0.2440 eV per atom